CaAlRh2 PBE optimized geometry; space group = R-3m, No. 166; VASP energy = -5.474 eV per atom; theoretical density = 6.452 Mg/m³; total magnetization = 0.000 μB per atom
1.0
8.084 0.047 0.028
7.428 3.189 0.028
7.428 1.550 2.788
Rh Al Ca
2 1 1
Cartesian
22.653 4.726 2.808
11.756 2.453 1.457
5.735 1.196 0.711
17.204 3.589 2.132

***

CaAl2Rh PBE optimized geometry; space group = Cmmm, No. 65; VASP energy = -4.357 eV per atom; theoretical density = 4.492 Mg/m³; total magnetization = 0.000 μB per atom
1.0
5.166 -0.011 0.000
-2.199 4.675 0.000
0.000 0.000 3.017
Al Rh Ca
2 1 1
Cartesian
0.000 0.000 0.000
1.483 2.332 0.000
-1.100 2.337 1.509
2.583 -0.005 1.509

***

CaAl2Rh2 PBE optimized geometry; space group = P4/mbm, No. 127; VASP energy = -5.625 eV per atom; theoretical density = 6.074 Mg/m³; total magnetization = 0.000 μB per atom
1.0
-0.321 -2.783 -6.950
-6.780 -2.841 1.451
-1.237 2.475 -0.934
Al Rh Ca
4 4 2
Cartesian
-1.064 -2.107 -4.174
-4.533 -4.211 -5.155
-6.037 -3.517 -1.324
-2.568 -1.413 -0.343
-1.843 -0.163 -2.558
-5.178 -1.109 -0.647
-6.495 -2.985 -3.874
-3.160 -2.040 -5.785
-3.551 -2.812 -2.749
0.000 0.000 0.000